DFT (PBE) results for crystalline AcDyGeRh at its relaxed geometry.

Cell lengths 5.1928, 5.1928, 5.1928 Å; angles 60.00, 60.00, 60.00 degrees
Closest atoms and distances in Å follow each position.
Atoms (fractional coordinates):
Rh 0.2500 0.2500 0.2500  4 Dy 3.18, 4 Ac 3.18
Dy 0.0000 0.0000 0.0000  4 Ge 3.18, 4 Rh 3.18
Ac 0.5000 0.5000 0.5000  4 Ge 3.18, 4 Rh 3.18
Ge 0.7500 0.7500 0.7500  4 Ac 3.18, 4 Dy 3.18

formation energy = -0.5499 eV/atom
E above lowest polymorph = 50.2 meV per atom
total moment = 0.000 μB/f.u.
space group = F-43m (216)